(1)
Computed, not measured: crystalline TiAsPOs2 at its relaxed geometry at the GGA-PBE level of DFT.

Unit cell a=4.366 b=4.366 c=4.554 alpha=90.00 beta=90.00 gamma=90.00
Space group P4/mmm (No. 123)
Inequivalent atoms, fractional coordinates:
Ti 0.000 0.000 0.000 [1 per cell]
As 0.500 0.500 0.000 [1 per cell]
P 0.000 0.000 0.500 [1 per cell]
Os 0.000 0.500 0.500 [2 per cell]

Summary:
E_form: 2.6 eV/f.u.
N(E_F): 0.690 states/eV/atom
Raw total energy: -7.5582 eV/atom


(2)
Computed, not measured: crystalline PaAsOs at its relaxed geometry at the GGA-PBE level of DFT.

Unit cell a=4.3662 b=4.3662 c=3.4928 alpha=90.00 beta=90.00 gamma=120.00
Space group P3m1 (No. 156)
Inequivalent atoms, fractional coordinates:
Pa 0.0000 0.0000 0.0000 [1 per cell]
As 0.3333 0.6667 0.5009 [1 per cell]
Os 0.6667 0.3333 0.4990 [1 per cell]

Summary:
E_form: -1.9 eV/f.u.
N(E_F): 0.364 states/eV/atom
Raw total energy: -9.0971 eV/atom


(3)
Computed, not measured: crystalline Pa4AsOs at its relaxed geometry at the GGA-PBE level of DFT.

Unit cell a=6.874 b=6.587 c=6.866 alpha=90.00 beta=93.28 gamma=90.00
Space group P2_1/c (No. 14)
Inequivalent atoms, fractional coordinates:
Pa 0.125 0.115 0.384 [4 per cell]
Pa 0.359 0.631 0.340 [4 per cell]
As 0.000 0.000 0.000 [2 per cell]
Os 0.500 0.000 0.500 [2 per cell]

Summary:
E_form: -0.4 eV/f.u.
N(E_F): 2.212 states/eV/atom
Raw total energy: -9.0420 eV/atom


The highest E_form belongs to which entry?
TiAsPOs2


What is the formula in the first record?
TiAsPOs2


Which of these has the highest raw total energy?
TiAsPOs2